Compound: Li2NdSm2Ge2
Source: Alexandria via LeMat-Bulk
Functional: GGA-PBE
Structure: optimized geometry

Calculated values
* formation enthalpy at 0 K: -0.488 eV/atom
* raw total energy: -4.3833 eV per atom

Cell lengths 4.5289, 4.5289, 27.8298 Å; angles 90.00, 90.00, 120.00 degrees
Space group R-3m (No. 166, hexagonal axes)
Unique sites:
Li 0.0000 0.0000 0.0992 x6
Nd 0.0000 0.0000 0.5000 x3
Sm 0.0000 0.0000 0.3729 x6
Ge 0.0000 0.0000 0.2366 x6